PPt3 | PBE | relaxed

Output
Space-group type: No. 71
DOS(E_F) in states/eV per cell: 3.11
Total magnetic moment in μB per formula unit: 0.00
Calculated density in g/cm³: 16.63
ΔE to the lowest computed polymorph in meV per atom: 111
Calculated formation energy in eV/atom: -0.14

a = 5.3336 Å, b = 5.3336 Å, c = 5.3336 Å
α = 146.25°, β = 132.55°, γ = 59.49°
With the nearest neighbours (Å) after each atom.
Element x y z (fractional)
P 0.0000 0.0000 0.0000  8 Pt 2.37-2.65
Pt 0.1941 0.6941 0.5000  2 P 2.37
Pt 0.5000 0.5000 0.0000  4 P 2.65, 4 Pt 2.80
Pt 0.8059 0.3059 0.5000  2 P 2.37


LiLaTi4O12 | PBE | relaxed

Output
Space-group type: No. 38
DOS(E_F) in states/eV per cell: 6.02
Total magnetic moment in μB per formula unit: 4.02
Formation energy (no corrections) in meV/atom: -2468
Calculated density in g/cm³: 3.72

a = 5.4700 Å, b = 5.4700 Å, c = 7.9054 Å
α = 90.00°, β = 90.00°, γ = 91.00°
With the nearest neighbours (Å) after each atom.
Element x y z (fractional)
Li 0.8230 0.8230 0.0000  4 O 1.97-2.04
La 0.5179 0.5179 0.5000  12 O 2.60-2.84
Ti 0.0156 0.4969 0.7627  6 O 1.88-2.08
Ti 0.0156 0.4969 0.2373  6 O 1.88-2.08
Ti 0.4969 0.0156 0.2373  6 O 1.88-2.08
Ti 0.4969 0.0156 0.7627  6 O 1.88-2.08
O 0.7519 0.2698 0.7278  2 Ti 1.91-1.97
O 0.2698 0.7519 0.7278  2 Ti 1.91-1.97
O 0.2698 0.7519 0.2722  2 Ti 1.91-1.97
O 0.7519 0.2698 0.2722  2 Ti 1.91-1.97
O 0.2676 0.2676 0.7291  2 Ti 1.90
O 0.7565 0.7565 0.7505  2 Ti 2.03, 1 Li 2.04
O 0.7565 0.7565 0.2495  2 Ti 2.03, 1 Li 2.04
O 0.2676 0.2676 0.2709  2 Ti 1.90
O 0.0114 0.5198 0.0000  2 Ti 1.88, 1 Li 1.97
O 0.9992 0.5211 0.5000  2 Ti 2.08
O 0.5198 0.0114 0.0000  2 Ti 1.88, 1 Li 1.97
O 0.5211 0.9992 0.5000  2 Ti 2.08


LaCd4Ni | PBE | relaxed

Output
Space-group type: No. 51
DOS(E_F) in states/eV per cell: 6.27
Total magnetic moment in μB per formula unit: 0.00
Calculated density in g/cm³: 7.93
ΔE to the lowest computed polymorph in meV per atom: 0
Calculated formation energy in eV/atom: -0.24

a = 4.4280 Å, b = 7.2427 Å, c = 8.4472 Å
α = 90.00°, β = 90.00°, γ = 90.00°
With the nearest neighbours (Å) after each atom.
Element x y z (fractional)
La 0.0000 0.5878 0.7500  1 Ni 2.66
La 0.0000 0.4122 0.2500  1 Ni 2.66
Cd 0.0000 0.0000 0.5000  2 Ni 2.65
Cd 0.0000 0.0000 0.0000  2 Ni 2.65
Cd 0.5000 0.9475 0.7500  2 Ni 2.97, 8 Cd 3.04-3.16
Cd 0.5000 0.0525 0.2500  2 Ni 2.97, 8 Cd 3.04-3.16
Cd 0.5000 0.6987 0.0568  2 Ni 2.81, 4 Cd 3.03-3.15
Cd 0.5000 0.3013 0.9432  2 Ni 2.81, 4 Cd 3.03-3.15
Cd 0.5000 0.6987 0.4432  2 Ni 2.81, 4 Cd 3.03-3.15
Cd 0.5000 0.3013 0.5568  2 Ni 2.81, 4 Cd 3.03-3.15
Ni 0.0000 0.2207 0.7500  6 Cd 2.65-2.81, 1 La 2.66
Ni 0.0000 0.7793 0.2500  6 Cd 2.65-2.81, 1 La 2.66


NdHoUO6 | PBE | relaxed

Output
Space-group type: No. 163
DOS(E_F) in states/eV per cell: 0.00
Total magnetic moment in μB per formula unit: 0.00
Formation energy (no corrections) in meV/atom: -3339
Calculated density in g/cm³: 7.52

a = 5.8027 Å, b = 5.8027 Å, c = 9.7361 Å
α = 90.00°, β = 90.00°, γ = 120.00°
With the nearest neighbours (Å) after each atom.
Element x y z (fractional)
Nd 0.0000 0.0000 0.0000  6 O 2.44
Nd 0.0000 0.0000 0.5000  6 O 2.44
Ho 0.3333 0.6667 0.2500  6 O 2.26
Ho 0.6667 0.3333 0.7500  6 O 2.26
U 0.6667 0.3333 0.2500  6 O 2.10
U 0.3333 0.6667 0.7500  6 O 2.10
O 0.6596 0.6384 0.1374  1 U 2.10, 1 Ho 2.26
O 0.9788 0.3404 0.1374  1 U 2.10, 1 Ho 2.26
O 0.3404 0.9788 0.6374  1 U 2.10, 1 Ho 2.26
O 0.0212 0.6596 0.8626  1 U 2.10, 1 Ho 2.26
O 0.3616 0.3404 0.3626  1 U 2.10, 1 Ho 2.26
O 0.9788 0.6384 0.3626  1 U 2.10, 1 Ho 2.26
O 0.6384 0.9788 0.8626  1 U 2.10, 1 Ho 2.26
O 0.6596 0.0212 0.3626  1 U 2.10, 1 Ho 2.26
O 0.0212 0.3616 0.6374  1 U 2.10, 1 Ho 2.26
O 0.3616 0.0212 0.1374  1 U 2.10, 1 Ho 2.26
O 0.6384 0.6596 0.6374  1 U 2.10, 1 Ho 2.26
O 0.3404 0.3616 0.8626  1 U 2.10, 1 Ho 2.26


NaCdSnPb | PBE | relaxed

Output
Space-group type: No. 216
DOS(E_F) in states/eV per cell: 1.17
Total magnetic moment in μB per formula unit: 0.00
Calculated density in g/cm³: 7.15
ΔE to the lowest computed polymorph in meV per atom: 2
Calculated formation energy in eV/atom: -0.05

a = 5.3302 Å, b = 5.3302 Å, c = 5.3302 Å
α = 60.00°, β = 60.00°, γ = 60.00°
With the nearest neighbours (Å) after each atom.
Element x y z (fractional)
Pb 0.5000 0.5000 0.5000  4 Cd 3.26, 4 Na 3.26
Na 0.2500 0.2500 0.2500  4 Sn 3.26, 4 Pb 3.26
Sn 0.0000 0.0000 0.0000  4 Cd 3.26, 4 Na 3.26
Cd 0.7500 0.7500 0.7500  4 Pb 3.26, 4 Sn 3.26


Ce2Ni4P3Pd | PBE | relaxed

Output
Space-group type: No. 115
DOS(E_F) in states/eV per cell: 6.11
Total magnetic moment in μB per formula unit: 0.00
Calculated density in g/cm³: 7.84
Calculated formation energy in eV/atom: -0.89

a = 3.9198 Å, b = 3.9198 Å, c = 9.8509 Å
α = 90.00°, β = 90.00°, γ = 90.00°
With the nearest neighbours (Å) after each atom.
Element x y z (fractional)
Ce 0.5000 0.0000 0.2460  8 Ni 2.94-3.12, 6 P 3.03-3.18, 2 Pd 3.18
Ce 0.0000 0.5000 0.7540  8 Ni 2.94-3.12, 6 P 3.03-3.18, 2 Pd 3.18
Ni 0.5000 0.5000 0.0000  4 P 2.30
Ni 0.0000 0.0000 0.0000  4 P 2.30
Ni 0.5000 0.0000 0.6536  1 P 2.20
Ni 0.0000 0.5000 0.3464  1 P 2.20
P 0.0000 0.0000 0.5000  4 Ni 2.48, 4 Pd 2.77
P 0.5000 0.0000 0.8772  5 Ni 2.20-2.30
P 0.0000 0.5000 0.1228  5 Ni 2.20-2.30
Pd 0.5000 0.5000 0.5000  4 Ni 2.48, 4 P 2.77


Mn3AuN | PBE | relaxed

Output
Space-group type: No. 221
DOS(E_F) in states/eV per cell: 4.11
Total magnetic moment in μB per formula unit: 0.80
Formation energy (no corrections) in meV/atom: -7
Calculated density in g/cm³: 11.15

a = 3.8248 Å, b = 3.8248 Å, c = 3.8248 Å
α = 90.00°, β = 90.00°, γ = 90.00°
With the nearest neighbours (Å) after each atom.
Element x y z (fractional)
Mn 0.5000 0.5000 0.0000  2 N 1.91
Mn 0.5000 0.0000 0.5000  2 N 1.91
Mn 0.0000 0.5000 0.5000  2 N 1.91
Au 0.0000 0.0000 0.0000  12 Mn 2.70
N 0.5000 0.5000 0.5000  6 Mn 1.91


Tm5BiRu2 | PBE | relaxed

Output
Space-group type: No. 140
DOS(E_F) in states/eV per cell: 12.73
Total magnetic moment in μB per formula unit: 0.00
Calculated density in g/cm³: 10.40
Calculated formation energy in eV/atom: -0.52

a = 7.6505 Å, b = 7.6505 Å, c = 8.7317 Å
α = 115.98°, β = 115.98°, γ = 90.00°
With the nearest neighbours (Å) after each atom.
Element x y z (fractional)
Tm 0.5257 0.7153 0.7410  3 Ru 2.82-2.89
Tm 0.7847 0.9743 0.2590  3 Ru 2.82-2.89
Tm 0.0000 0.0000 0.0000  4 Ru 2.95
Tm 0.5000 0.5000 0.0000  4 Ru 2.95
Tm 0.2153 0.0257 0.7410  3 Ru 2.82-2.89
Tm 0.7153 0.2153 0.7410  3 Ru 2.82-2.89
Tm 0.0257 0.5257 0.7410  3 Ru 2.82-2.89
Tm 0.2847 0.7847 0.2590  3 Ru 2.82-2.89
Tm 0.9743 0.4743 0.2590  3 Ru 2.82-2.89
Tm 0.4743 0.2847 0.2590  3 Ru 2.82-2.89
Bi 0.7500 0.7500 0.5000  10 Tm 3.33-3.43
Bi 0.2500 0.2500 0.5000  10 Tm 3.33-3.43
Ru 0.1418 0.3582 0.0000  8 Tm 2.82-2.95, 1 Ru 3.07
Ru 0.6418 0.1418 0.0000  8 Tm 2.82-2.95, 1 Ru 3.07
Ru 0.3582 0.8582 0.0000  8 Tm 2.82-2.95, 1 Ru 3.07
Ru 0.8582 0.6418 0.0000  8 Tm 2.82-2.95, 1 Ru 3.07